NdSm3Ga | Alexandria via LeMat-Bulk | PBE | optimized geometry; SG = C2/m, No. 12; total moment = 0.0 μB per formula unit; DOS at the Fermi energy = 14.5 states/eV per cell
1.0
7.5830 -0.0029 -0.3070
-2.0775 7.2929 0.3070
-3.3013 -3.2308 6.0201
Sm Nd Ga
6 2 2
Direct
0.7047 0.4371 0.1417
0.8462 0.0806 0.3072
0.1538 0.9194 0.6928
0.7735 0.5390 0.6928
0.2953 0.5629 0.8583
0.2265 0.4610 0.3072
0.7247 0.0581 0.7828
0.2753 0.9419 0.2172
0.6275 0.7477 0.3752
0.3725 0.2523 0.6248

***

Nd3SmGa | Alexandria via LeMat-Bulk | PBE | optimized geometry; SG = P-1, No. 2; total moment = 0.0 μB per formula unit; DOS at the Fermi energy = 11.4 states/eV per cell
1.0
3.6996 -0.0019 -0.6847
-0.3691 8.4772 -1.9880
-0.0763 -0.0134 9.9438
Nd Ga Sm
6 2 2
Direct
0.4129 0.8110 0.0873
0.2317 0.7319 0.7182
0.6126 0.9333 0.4818
0.5989 0.4928 0.4572
0.4176 0.4136 0.0880
0.2178 0.2913 0.6935
0.0194 0.6801 0.2971
0.8110 0.5444 0.8781
0.8232 0.0699 0.9011
0.0073 0.1548 0.2743

***

NdSm3Ga2 | Alexandria via LeMat-Bulk | PBE | optimized geometry; SG = Pmc2_1, No. 26; total moment = 0.0 μB per formula unit; DOS at the Fermi energy = 12.5 states/eV per cell
1.0
5.1241 0.0000 0.0000
0.0000 6.6799 0.0000
0.0000 0.0000 9.6698
Sm Ga Nd
6 4 2
Direct
0.0000 0.3198 0.3258
0.5000 0.6803 0.1707
0.0000 0.9764 0.0536
0.0000 0.8198 0.6742
0.5000 0.1803 0.8293
0.0000 0.4764 0.9464
0.5000 0.7107 0.8539
0.5000 0.2107 0.1461
0.0000 0.2880 0.6474
0.0000 0.7880 0.3526
0.5000 0.0248 0.4484
0.5000 0.5248 0.5516

***

Nd4SmGa5 | Alexandria via LeMat-Bulk | PBE | optimized geometry; SG = P4/mmm, No. 123; total moment = 0.0 μB per formula unit; DOS at the Fermi energy = 4.3 states/eV per cell
1.0
3.6855 0.0000 0.0000
0.0000 3.6855 0.0000
0.0000 0.0000 18.4326
Ga Nd Sm
5 4 1
Direct
0.5000 0.5000 0.2988
0.5000 0.5000 0.0968
0.5000 0.5000 0.5000
0.5000 0.5000 0.7012
0.5000 0.5000 0.9032
0.0000 0.0000 0.6006
0.0000 0.0000 0.3994
0.0000 0.0000 0.1981
0.0000 0.0000 0.8019
0.0000 0.0000 0.0000

***

NdSm2Ga6 | Alexandria via LeMat-Bulk | PBE | optimized geometry; SG = P6/mmm, No. 191; total moment = 0.0 μB per formula unit; DOS at the Fermi energy = 5.7 states/eV per cell
1.0
4.2587 0.0000 0.0000
0.0000 6.3890 -3.6887
0.0000 0.0000 7.3774
Ga Nd Sm
6 1 2
Direct
0.5000 0.6661 0.6661
0.5000 0.0000 0.6661
0.5000 0.6661 0.0000
0.5000 0.0000 0.3339
0.5000 0.3339 0.3339
0.5000 0.3339 0.0000
0.0000 0.0000 0.0000
0.0000 0.3333 0.6667
0.0000 0.6667 0.3333

***

NdSm6Ga3 | Alexandria via LeMat-Bulk | PBE | optimized geometry; SG = Cmc2_1, No. 36; total moment = 0.0 μB per formula unit; DOS at the Fermi energy = 24.4 states/eV per cell
1.0
8.3271 0.0000 0.0000
0.0000 8.4594 0.4813
0.0000 -1.4186 8.3535
Nd Sm Ga
2 12 6
Direct
0.5106 0.6689 0.3311
0.0106 0.3311 0.6689
0.6611 0.6117 0.7363
0.3061 0.5709 0.9341
0.3061 0.0659 0.4291
0.1611 0.3883 0.2637
0.5543 0.2330 0.7670
0.6983 0.9663 0.0337
0.8061 0.9341 0.5709
0.1983 0.0337 0.9663
0.1611 0.7363 0.6117
0.8061 0.4291 0.0659
0.0543 0.7670 0.2330
0.6611 0.2637 0.3883
0.4649 0.8936 0.7202
0.8579 0.5693 0.4307
0.9649 0.7202 0.8936
0.3579 0.4307 0.5693
0.4649 0.2798 0.1064
0.9649 0.1064 0.2798

***

Nd8SmGa6 | Alexandria via LeMat-Bulk | PBE | optimized geometry; SG = R-3, No. 148; total moment = 0.0 μB per formula unit; DOS at the Fermi energy = 18.2 states/eV per cell
1.0
-2.2579 3.3655 7.9108
-8.1428 -1.4144 3.2711
-1.4134 -4.6255 6.5580
Ga Nd Sm
6 8 1
Direct
0.6135 0.9445 0.1667
0.3865 0.0555 0.8333
0.7246 0.3865 0.8333
0.9445 0.2754 0.1667
0.0555 0.7246 0.8333
0.2754 0.6135 0.1667
0.6663 0.6663 0.0012
0.8868 0.5523 0.3409
0.3337 0.3337 0.9988
0.1132 0.4477 0.6591
0.4477 0.7800 0.6591
0.7800 0.1132 0.6591
0.2200 0.8868 0.3409
0.5523 0.2200 0.3409
0.0000 0.0000 0.0000

***

Nd2Sm2Ga | Alexandria via LeMat-Bulk | PBE | optimized geometry; SG = C2/m, No. 12; total moment = 0.0 μB per formula unit; DOS at the Fermi energy = 10.2 states/eV per cell
1.0
-6.6507 -0.7129 5.0712
-3.5043 -5.1951 1.6208
0.6548 -1.6745 8.7285
Nd Sm Ga
4 4 2
Direct
0.0322 0.6185 0.7311
0.6507 0.3815 0.7311
0.9678 0.3815 0.2689
0.3493 0.6185 0.2689
0.2484 0.0000 0.5969
0.7516 0.0000 0.4031
0.3941 0.0000 0.8797
0.6059 0.0000 0.1203
0.1444 0.7113 0.0000
0.8556 0.2887 0.0000

***

The following ΔE_f values (in meV per atom) correspond, in order, to the records above: -65 -195 -397 -560 -680 -293 -356 -152.
The following uncorrected energy values (in eV for the cell shown) correspond, in order, to the records above: -44.56 -46.05 -54.72 -44.52 -38.49 -90.18 -66.36 -45.52.